! RbTa2CrCu, relaxed, DFT PBE; values from VASP
&SYSTEM
  ibrav = 0, nat = 5, ntyp = 4
/
ATOMIC_SPECIES
Rb 85.47 Rb.upf
Ta 180.95 Ta.upf
Cr 52.00 Cr.upf
Cu 63.55 Cu.upf
CELL_PARAMETERS angstrom
4.5663 0.0000 0.0000
0.0000 4.5663 0.0000
0.0000 0.0000 6.3837
ATOMIC_POSITIONS crystal
Rb 0.0000 0.0000 0.0000
Ta 0.0000 0.5000 0.5000
Ta 0.5000 0.0000 0.5000
Cr 0.0000 0.0000 0.5000
Cu 0.5000 0.5000 0.0000
! * calculated volume: 133.11 Å³/cell
! * crystal system: tetragonal
! * E_tot: -29.59 eV per formula unit
! * total magnetization: 0.10 μB/cell

! Rb2CrCuTc, relaxed, DFT PBE; values from VASP
&SYSTEM
  ibrav = 0, nat = 5, ntyp = 4
/
ATOMIC_SPECIES
Rb 85.47 Rb.upf
Cr 52.00 Cr.upf
Cu 63.55 Cu.upf
Tc 98.00 Tc.upf
CELL_PARAMETERS angstrom
6.4710 0.0000 0.0000
0.0000 6.4710 0.0000
0.0000 0.0000 4.6326
ATOMIC_POSITIONS crystal
Rb 0.0000 0.5000 0.0000
Rb 0.5000 0.0000 0.0000
Cr 0.0000 0.0000 0.5000
Cu 0.5000 0.5000 0.5000
Tc 0.5000 0.5000 0.0000
! * calculated volume: 193.99 Å³/cell
! * crystal system: tetragonal
! * E_tot: -17.23 eV per formula unit
! * total magnetization: 5.21 μB/cell

! Rb2CrCu2Te4, relaxed, DFT PBE; values from VASP
&SYSTEM
  ibrav = 0, nat = 9, ntyp = 4
/
ATOMIC_SPECIES
Rb 85.47 Rb.upf
Cr 52.00 Cr.upf
Cu 63.55 Cu.upf
Te 127.60 Te.upf
CELL_PARAMETERS angstrom
7.8507 -2.0703 0.0000
7.8507 2.0703 0.0000
-2.7938 0.0000 8.0749
ATOMIC_POSITIONS crystal
Rb 0.1322 0.1322 0.0642
Rb 0.8678 0.8678 0.9358
Cr 0.0000 0.0000 0.5000
Cu 0.3054 0.3054 0.5134
Cu 0.6946 0.6946 0.4866
Te 0.1860 0.1860 0.6714
Te 0.4791 0.4791 0.7028
Te 0.5209 0.5209 0.2972
Te 0.8140 0.8140 0.3286
! * calculated volume: 262.49 Å³/cell
! * crystal system: monoclinic
! * E_tot: -36.49 eV per formula unit
! * uncorrected formation energy: -0.46 eV/atom
! * total magnetization: 2.72 μB/cell

! RbCrCu2Te4, relaxed, DFT PBE; values from VASP
&SYSTEM
  ibrav = 0, nat = 16, ntyp = 4
/
ATOMIC_SPECIES
Rb 85.47 Rb.upf
Cr 52.00 Cr.upf
Cu 63.55 Cu.upf
Te 127.60 Te.upf
CELL_PARAMETERS angstrom
6.5687 0.0000 0.0000
0.0000 8.9381 0.0000
0.0000 0.0000 9.3490
ATOMIC_POSITIONS crystal
Rb 0.0000 0.0000 0.0000
Rb 0.5000 0.5000 0.5000
Cr 0.0000 0.0000 0.5000
Cr 0.5000 0.5000 0.0000
Cu 0.0000 0.5000 0.1312
Cu 0.0000 0.5000 0.8688
Cu 0.5000 0.0000 0.3688
Cu 0.5000 0.0000 0.6312
Te 0.2069 0.1717 0.3423
Te 0.2069 0.8283 0.6577
Te 0.2931 0.3283 0.8423
Te 0.2931 0.6717 0.1577
Te 0.7069 0.3283 0.1577
Te 0.7069 0.6717 0.8423
Te 0.7931 0.1717 0.6577
Te 0.7931 0.8283 0.3423
! * calculated volume: 548.89 Å³/cell
! * crystal system: orthorhombic
! * E_tot: -32.20 eV per formula unit
! * uncorrected formation energy: -0.11 eV/atom
! * total magnetization: 2.22 μB/cell

! CrCu2Re, relaxed, DFT PBE; values from VASP
&SYSTEM
  ibrav = 0, nat = 8, ntyp = 3
/
ATOMIC_SPECIES
Cr 52.00 Cr.upf
Cu 63.55 Cu.upf
Re 186.21 Re.upf
CELL_PARAMETERS angstrom
4.9547 0.0000 0.0000
0.0000 8.1396 0.0000
-0.0182 0.0000 2.5243
ATOMIC_POSITIONS crystal
Cr 0.0000 0.0000 0.0000
Cr 0.5000 0.5000 0.0000
Cu 0.2500 0.2500 0.5000
Cu 0.2500 0.7500 0.5000
Cu 0.7500 0.2500 0.5000
Cu 0.7500 0.7500 0.5000
Re 0.0000 0.5000 0.0000
Re 0.5000 0.0000 0.0000
! * calculated volume: 101.80 Å³/cell
! * crystal system: monoclinic
! * E_tot: -29.11 eV per formula unit
! * total magnetization: 0.00 μB/cell

! CrCu2Re, relaxed, DFT PBE; values from VASP
&SYSTEM
  ibrav = 0, nat = 8, ntyp = 3
/
ATOMIC_SPECIES
Cr 52.00 Cr.upf
Cu 63.55 Cu.upf
Re 186.21 Re.upf
CELL_PARAMETERS angstrom
3.7270 0.0000 0.0000
0.0000 3.7270 0.0000
0.0000 0.0000 7.3328
ATOMIC_POSITIONS crystal
Cr 0.0000 0.0000 0.0000
Cr 0.5000 0.5000 0.5000
Cu 0.0000 0.0000 0.5000
Cu 0.0000 0.5000 0.7500
Cu 0.5000 0.0000 0.2500
Cu 0.5000 0.5000 0.0000
Re 0.0000 0.5000 0.2500
Re 0.5000 0.0000 0.7500
! * calculated volume: 101.85 Å³/cell
! * crystal system: tetragonal
! * E_tot: -29.08 eV per formula unit
! * total magnetization: 1.65 μB/cell

! Cr2CuRe, relaxed, DFT PBE; values from VASP
&SYSTEM
  ibrav = 0, nat = 4, ntyp = 3
/
ATOMIC_SPECIES
Cr 52.00 Cr.upf
Cu 63.55 Cu.upf
Re 186.21 Re.upf
CELL_PARAMETERS angstrom
2.6475 0.0000 0.0000
0.0000 2.6475 0.0000
0.0000 0.0000 7.3814
ATOMIC_POSITIONS crystal
Cr 0.0000 0.0000 0.2454
Cr 0.0000 0.0000 0.7546
Cu 0.5000 0.5000 0.0000
Re 0.5000 0.5000 0.5000
! * calculated volume: 51.74 Å³/cell
! * crystal system: tetragonal
! * E_tot: -34.32 eV per formula unit
! * total magnetization: 0.54 μB/cell

! Cr2CuRe, relaxed, DFT PBE; values from VASP
&SYSTEM
  ibrav = 0, nat = 4, ntyp = 3
/
ATOMIC_SPECIES
Cr 52.00 Cr.upf
Cu 63.55 Cu.upf
Re 186.21 Re.upf
CELL_PARAMETERS angstrom
2.5150 0.0000 0.0000
0.0000 4.1649 0.0000
-0.9321 0.0000 4.8709
ATOMIC_POSITIONS crystal
Cr 0.2254 0.0000 0.2421
Cr 0.7746 0.0000 0.7579
Cu 0.5000 0.5000 0.0000
Re 0.0000 0.5000 0.5000
! * calculated volume: 51.02 Å³/cell
! * crystal system: monoclinic
! * E_tot: -34.85 eV per formula unit
! * total magnetization: 0.00 μB/cell